Compound: LiPdBr2
Source: Alexandria
Functional: PBE
Structure: optimized geometry

It has space group R-3m (No. 166, hexagonal axes), with a = 3.7827 Å, b = 3.7827 Å, c = 23.5348 Å, α = 90.00°, β = 90.00° and γ = 120.00°. The asymmetric unit holds Li at (0.0000, 0.0000, 0.0000), Pd at (0.0000, 0.0000, 0.5000) and Br at (0.0000, 0.0000, 0.3968).

The calculation puts the total DFT energy (no corrections) at -38.29 eV/cell.